<a>
Computed, not measured: crystalline ReSi4W at its relaxed geometry at the PBE level of DFT.

a b c (Å): 3.212 3.212 7.847
angles (deg): 90.00 90.00 90.00
Atoms (fractional coordinates):
Re (0.000, 0.000, 0.000)
Si (0.000, 0.000, 0.333)
Si (0.000, 0.000, 0.667)
Si (0.500, 0.500, 0.166)
Si (0.500, 0.500, 0.834)
W (0.500, 0.500, 0.500)

Values from the calculation:
The density of states at the Fermi level comes out at 0.212 states/eV per atom.

=====

<b>
Computed, not measured: crystalline ReSi4W at its relaxed geometry at the PBE level of DFT.

a b c (Å): 4.812 4.812 4.812
angles (deg): 60.00 60.00 60.00
Atoms (fractional coordinates):
Re (0.000, 0.000, 0.000)
Si (0.125, 0.625, 0.625)
Si (0.625, 0.125, 0.625)
Si (0.625, 0.625, 0.125)
Si (0.625, 0.625, 0.625)
W (0.250, 0.250, 0.250)

Values from the calculation:
The density of states at the Fermi level comes out at 0.585 states/eV per atom.

=====

Relative calculated energies, zero for the most stable structure, unit meV/atom: <a> 0; <b> 866.

=====

<a>
Computed, not measured: crystalline ReSi3W at its relaxed geometry at the PBE level of DFT.

a b c (Å): 4.724 4.724 4.724
angles (deg): 90.00 90.00 90.00
Atoms (fractional coordinates):
Re (0.000, 0.000, 0.000)
Si (0.000, 0.500, 0.500)
Si (0.500, 0.000, 0.500)
Si (0.500, 0.500, 0.000)
W (0.500, 0.500, 0.500)

Values from the calculation:
The density of states at the Fermi level comes out at 0.564 states/eV per atom.

=====

<b>
Computed, not measured: crystalline ReSi3W at its relaxed geometry at the PBE level of DFT.

a b c (Å): 4.640 4.640 4.640
angles (deg): 90.00 90.00 90.00
Atoms (fractional coordinates):
Re (0.000, 0.000, 0.000)
Si (0.000, 0.000, 0.500)
Si (0.000, 0.500, 0.000)
Si (0.500, 0.000, 0.000)
W (0.500, 0.500, 0.500)

Values from the calculation:
The density of states at the Fermi level comes out at 0.942 states/eV per atom.

=====

Relative calculated energies, zero for the most stable structure, unit meV/atom: <a> 157; <b> 0.

=====

<a>
Computed, not measured: crystalline Zn3ReSi at its relaxed geometry at the PBE level of DFT.

a b c (Å): 4.812 4.812 4.812
angles (deg): 90.00 90.00 90.00
Atoms (fractional coordinates):
Zn (0.000, 0.000, 0.500)
Zn (0.000, 0.500, 0.000)
Zn (0.500, 0.000, 0.000)
Re (0.000, 0.000, 0.000)
Si (0.500, 0.500, 0.500)

Values from the calculation:
The density of states at the Fermi level comes out at 0.579 states/eV per atom.

=====

<b>
Computed, not measured: crystalline Zn3ReSi at its relaxed geometry at the PBE level of DFT.

a b c (Å): 4.567 4.567 4.567
angles (deg): 90.00 90.00 90.00
Atoms (fractional coordinates):
Zn (0.000, 0.000, 0.500)
Zn (0.000, 0.500, 0.000)
Zn (0.500, 0.000, 0.000)
Re (0.500, 0.500, 0.500)
Si (0.000, 0.000, 0.000)

Values from the calculation:
The density of states at the Fermi level comes out at 0.282 states/eV per atom.

=====

Relative calculated energies, zero for the most stable structure, unit meV/atom: <a> 0; <b> 107.

=====

<a>
Computed, not measured: crystalline ZrRe3Si at its relaxed geometry at the PBE level of DFT.

a b c (Å): 4.450 4.450 4.450
angles (deg): 90.00 90.00 90.00
Atoms (fractional coordinates):
Zr (0.000, 0.000, 0.000)
Re (0.000, 0.500, 0.500)
Re (0.500, 0.000, 0.500)
Re (0.500, 0.500, 0.000)
Si (0.500, 0.500, 0.500)

Values from the calculation:
The density of states at the Fermi level comes out at 1.832 states/eV per atom.

=====

<b>
Computed, not measured: crystalline ZrRe3Si at its relaxed geometry at the PBE level of DFT.

a b c (Å): 4.809 4.809 4.809
angles (deg): 90.00 90.00 90.00
Atoms (fractional coordinates):
Zr (0.000, 0.000, 0.000)
Re (0.000, 0.000, 0.500)
Re (0.000, 0.500, 0.000)
Re (0.500, 0.000, 0.000)
Si (0.500, 0.500, 0.500)

Values from the calculation:
The density of states at the Fermi level comes out at 0.971 states/eV per atom.

=====

Relative calculated energies, zero for the most stable structure, unit meV/atom: <a> 0; <b> 2178.

=====

<a>
Computed, not measured: crystalline SmRe6 at its relaxed geometry at the PBE level of DFT.

a b c (Å): 5.975 5.975 5.975
angles (deg): 109.47 109.47 109.47
Atoms (fractional coordinates):
Sm (0.000, 0.000, 0.000)
Re (0.250, 0.500, 0.750)
Re (0.250, 0.750, 0.500)
Re (0.500, 0.250, 0.750)
Re (0.500, 0.750, 0.250)
Re (0.750, 0.250, 0.500)
Re (0.750, 0.500, 0.250)

Values from the calculation:
The density of states at the Fermi level comes out at 0.880 states/eV per atom.

=====

<b>
Computed, not measured: crystalline SmRe6 at its relaxed geometry at the PBE level of DFT.

a b c (Å): 8.549 5.261 10.846
angles (deg): 90.00 90.00 90.00
Atoms (fractional coordinates):
Sm (0.232, 0.250, 0.056)
Sm (0.268, 0.750, 0.556)
Sm (0.732, 0.250, 0.444)
Sm (0.768, 0.750, 0.944)
Re (0.071, 0.009, 0.307)
Re (0.071, 0.491, 0.307)
Re (0.083, 0.250, 0.522)
Re (0.085, 0.750, 0.084)
Re (0.142, 0.750, 0.850)
Re (0.182, 0.250, 0.757)
Re (0.318, 0.750, 0.257)
Re (0.358, 0.250, 0.350)
Re (0.415, 0.250, 0.584)
Re (0.417, 0.750, 0.022)
Re (0.429, 0.509, 0.807)
Re (0.429, 0.991, 0.807)
Re (0.571, 0.009, 0.193)
Re (0.571, 0.491, 0.193)
Re (0.583, 0.250, 0.978)
Re (0.585, 0.750, 0.416)
Re (0.642, 0.750, 0.650)
Re (0.682, 0.250, 0.743)
Re (0.818, 0.750, 0.243)
Re (0.858, 0.250, 0.150)
Re (0.915, 0.250, 0.916)
Re (0.917, 0.750, 0.478)
Re (0.929, 0.509, 0.693)
Re (0.929, 0.991, 0.693)

Values from the calculation:
The density of states at the Fermi level comes out at 0.754 states/eV per atom.

=====

Relative calculated energies, zero for the most stable structure, unit meV/atom: <a> 929; <b> 0.

=====

<a>
Computed, not measured: crystalline SmThRe at its relaxed geometry at the PBE level of DFT.

a b c (Å): 6.320 6.320 7.480
angles (deg): 126.01 126.01 43.56
Atoms (fractional coordinates):
Sm (0.000, 0.000, 0.000)
Sm (0.596, 0.596, 0.458)
Th (0.352, 0.352, 0.564)
Th (0.756, 0.756, 0.096)
Re (0.028, 0.028, 0.628)
Re (0.302, 0.302, 0.912)

Values from the calculation:
The density of states at the Fermi level comes out at 1.042 states/eV per atom.

=====

<b>
Computed, not measured: crystalline SmThRe at its relaxed geometry at the PBE level of DFT.

a b c (Å): 7.242 7.242 7.242
angles (deg): 152.01 152.01 40.00
Atoms (fractional coordinates):
Sm (0.000, 0.000, 0.000)
Th (0.253, 0.253, 0.000)
Re (0.633, 0.633, 0.000)

Values from the calculation:
The density of states at the Fermi level comes out at 0.741 states/eV per atom.

=====

Relative calculated energies, zero for the most stable structure, unit meV/atom: <a> 0; <b> 22.

=====

<a>
Computed, not measured: crystalline SmTh2Re at its relaxed geometry at the PBE level of DFT.

a b c (Å): 9.410 9.410 9.410
angles (deg): 24.54 24.54 24.54
Atoms (fractional coordinates):
Sm (0.000, 0.000, 0.000)
Th (0.226, 0.226, 0.226)
Th (0.774, 0.774, 0.774)
Re (0.500, 0.500, 0.500)

Values from the calculation:
The density of states at the Fermi level comes out at 1.227 states/eV per atom.

=====

<b>
Computed, not measured: crystalline SmTh2Re at its relaxed geometry at the PBE level of DFT.

a b c (Å): 3.557 3.557 8.808
angles (deg): 90.00 90.00 90.00
Atoms (fractional coordinates):
Sm (0.000, 0.000, 0.000)
Th (0.500, 0.500, 0.298)
Th (0.500, 0.500, 0.702)
Re (0.000, 0.000, 0.500)

Values from the calculation:
The density of states at the Fermi level comes out at 1.819 states/eV per atom.

=====

Relative calculated energies, zero for the most stable structure, unit meV/atom: <a> 109; <b> 0.

=====

<a>
Computed, not measured: crystalline SrReSn3 at its relaxed geometry at the PBE level of DFT.

a b c (Å): 5.656 5.656 5.656
angles (deg): 90.00 90.00 90.00
Atoms (fractional coordinates):
Sr (0.000, 0.000, 0.000)
Re (0.500, 0.500, 0.500)
Sn (0.000, 0.000, 0.500)
Sn (0.000, 0.500, 0.000)
Sn (0.500, 0.000, 0.000)

Values from the calculation:
The density of states at the Fermi level comes out at 2.267 states/eV per atom.

=====

<b>
Computed, not measured: crystalline SrReSn3 at its relaxed geometry at the PBE level of DFT.

a b c (Å): 5.271 5.271 5.271
angles (deg): 90.00 90.00 90.00
Atoms (fractional coordinates):
Sr (0.000, 0.000, 0.000)
Re (0.500, 0.500, 0.500)
Sn (0.000, 0.500, 0.500)
Sn (0.500, 0.000, 0.500)
Sn (0.500, 0.500, 0.000)

Values from the calculation:
The density of states at the Fermi level comes out at 1.010 states/eV per atom.

=====

Relative calculated energies, zero for the most stable structure, unit meV/atom: <a> 2189; <b> 0.

=====

<a>
Computed, not measured: crystalline Ta3ReSn at its relaxed geometry at the PBE level of DFT.

a b c (Å): 4.875 4.875 4.875
angles (deg): 90.00 90.00 90.00
Atoms (fractional coordinates):
Ta (0.000, 0.000, 0.500)
Ta (0.000, 0.500, 0.000)
Ta (0.500, 0.000, 0.000)
Re (0.000, 0.000, 0.000)
Sn (0.500, 0.500, 0.500)

Values from the calculation:
The density of states at the Fermi level comes out at 0.679 states/eV per atom.

=====

<b>
Computed, not measured: crystalline Ta3ReSn at its relaxed geometry at the PBE level of DFT.

a b c (Å): 4.904 4.904 4.904
angles (deg): 90.00 90.00 90.00
Atoms (fractional coordinates):
Ta (0.000, 0.000, 0.500)
Ta (0.000, 0.500, 0.000)
Ta (0.500, 0.000, 0.000)
Re (0.500, 0.500, 0.500)
Sn (0.000, 0.000, 0.000)

Values from the calculation:
The density of states at the Fermi level comes out at 1.174 states/eV per atom.

=====

Relative calculated energies, zero for the most stable structure, unit meV/atom: <a> 0; <b> 1368.

=====

<a>
Computed, not measured: crystalline ZnReTcSn2 at its relaxed geometry at the PBE level of DFT.

a b c (Å): 4.899 4.899 4.701
angles (deg): 90.00 90.00 90.00
Atoms (fractional coordinates):
Zn (0.000, 0.000, 0.000)
Re (0.000, 0.000, 0.500)
Tc (0.500, 0.500, 0.500)
Sn (0.000, 0.500, 0.000)
Sn (0.500, 0.000, 0.000)

Values from the calculation:
The density of states at the Fermi level comes out at 1.141 states/eV per atom.

=====

<b>
Computed, not measured: crystalline ZnReTcSn2 at its relaxed geometry at the PBE level of DFT.

a b c (Å): 5.201 5.201 4.791
angles (deg): 90.00 90.00 90.00
Atoms (fractional coordinates):
Zn (0.000, 0.000, 0.000)
Re (0.500, 0.500, 0.500)
Tc (0.500, 0.500, 0.000)
Sn (0.000, 0.500, 0.500)
Sn (0.500, 0.000, 0.500)

Values from the calculation:
The density of states at the Fermi level comes out at 0.814 states/eV per atom.

=====

Relative calculated energies, zero for the most stable structure, unit meV/atom: <a> 692; <b> 0.

=====

<a>
Computed, not measured: crystalline ReSnTe3 at its relaxed geometry at the PBE level of DFT.

a b c (Å): 5.283 5.283 5.283
angles (deg): 90.00 90.00 90.00
Atoms (fractional coordinates):
Re (0.000, 0.000, 0.000)
Sn (0.500, 0.500, 0.500)
Te (0.000, 0.000, 0.500)
Te (0.000, 0.500, 0.000)
Te (0.500, 0.000, 0.000)

Values from the calculation:
The density of states at the Fermi level comes out at 1.784 states/eV per atom.

=====

<b>
Computed, not measured: crystalline ReSnTe3 at its relaxed geometry at the PBE level of DFT.

a b c (Å): 5.672 5.672 5.672
angles (deg): 90.00 90.00 90.00
Atoms (fractional coordinates):
Re (0.000, 0.000, 0.000)
Sn (0.500, 0.500, 0.500)
Te (0.000, 0.500, 0.500)
Te (0.500, 0.000, 0.500)
Te (0.500, 0.500, 0.000)

Values from the calculation:
The density of states at the Fermi level comes out at 0.987 states/eV per atom.

=====

Relative calculated energies, zero for the most stable structure, unit meV/atom: <a> 0; <b> 934.

=====

<a>
Computed, not measured: crystalline TiRe3Sn at its relaxed geometry at the PBE level of DFT.

a b c (Å): 4.610 4.610 4.610
angles (deg): 90.00 90.00 90.00
Atoms (fractional coordinates):
Ti (0.000, 0.000, 0.000)
Re (0.000, 0.000, 0.500)
Re (0.000, 0.500, 0.000)
Re (0.500, 0.000, 0.000)
Sn (0.500, 0.500, 0.500)

Values from the calculation:
The density of states at the Fermi level comes out at 0.875 states/eV per atom.

=====

<b>
Computed, not measured: crystalline TiRe3Sn at its relaxed geometry at the PBE level of DFT.

a b c (Å): 4.785 4.785 4.785
angles (deg): 90.00 90.00 90.00
Atoms (fractional coordinates):
Ti (0.000, 0.000, 0.000)
Re (0.000, 0.500, 0.500)
Re (0.500, 0.000, 0.500)
Re (0.500, 0.500, 0.000)
Sn (0.500, 0.500, 0.500)

Values from the calculation:
The density of states at the Fermi level comes out at 1.610 states/eV per atom.

=====

Relative calculated energies, zero for the most stable structure, unit meV/atom: <a> 0; <b> 738.

=====

<a>
Computed, not measured: crystalline TlReSn2 at its relaxed geometry at the PBE level of DFT.

a b c (Å): 5.040 5.040 5.040
angles (deg): 60.00 60.00 60.00
Atoms (fractional coordinates):
Tl (0.000, 0.000, 0.000)
Re (0.500, 0.500, 0.500)
Sn (0.250, 0.250, 0.250)
Sn (0.750, 0.750, 0.750)

Values from the calculation:
The density of states at the Fermi level comes out at 0.614 states/eV per atom.

=====

<b>
Computed, not measured: crystalline TlReSn2 at its relaxed geometry at the PBE level of DFT.

a b c (Å): 8.920 8.920 8.920
angles (deg): 139.63 139.63 58.41
Atoms (fractional coordinates):
Tl (0.000, 0.000, 0.000)
Tl (0.750, 0.250, 0.500)
Re (0.250, 0.750, 0.500)
Re (0.500, 0.500, 0.000)
Sn (0.278, 0.625, 0.153)
Sn (0.375, 0.528, 0.653)
Sn (0.472, 0.125, 0.847)
Sn (0.875, 0.722, 0.347)

Values from the calculation:
The density of states at the Fermi level comes out at 0.249 states/eV per atom.

=====

Relative calculated energies, zero for the most stable structure, unit meV/atom: <a> 0; <b> 21.